[1]
{
  "formula": "Sn5Pb3I16",
  "functional": "PBE",
  "state": "optimized geometry",
  "raw_formation_energy_kcal_per_mol_atoms": -12.692,
  "cell": [[8.052, -4.646, 0.000], [8.052, 4.646, 0.000], [-0.040, 0.000, 14.751]],
  "species": ["Sn", "Sn", "Sn", "Sn", "Sn", "Pb", "Pb", "Pb", "I", "I", "I", "I", "I", "I", "I", "I", "I", "I", "I", "I", "I", "I", "I", "I"],
  "frac_coords": [[0.000, 0.000, 0.000], [0.334, 0.833, 0.500], [0.501, 0.501, 0.244], [0.833, 0.334, 0.500], [0.834, 0.834, 0.743], [0.000, 0.502, 0.001], [0.334, 0.334, 0.501], [0.502, 0.000, 0.001], [0.002, 0.002, 0.619], [0.154, 0.676, 0.869], [0.164, 0.164, 0.378], [0.165, 0.165, 0.877], [0.182, 0.663, 0.370], [0.327, 0.838, 0.122], [0.330, 0.330, 0.127], [0.494, 0.999, 0.624], [0.503, 0.503, 0.624], [0.660, 0.660, 0.372], [0.663, 0.182, 0.370], [0.674, 0.674, 0.867], [0.676, 0.154, 0.869], [0.837, 0.837, 0.126], [0.838, 0.327, 0.122], [0.999, 0.494, 0.624]]
}



[2]
{
  "formula": "AcPm6Sm2",
  "functional": "PBE",
  "state": "optimized geometry",
  "e_form_ev_per_fu": 0.1,
  "polymorph_energy_mev_per_atom": 0.0,
  "cell": [[9.618, -1.859, 0.000], [9.618, 1.859, 0.000], [-2.167, 0.000, 8.911]],
  "species": ["Ac", "Pm", "Pm", "Pm", "Pm", "Pm", "Pm", "Sm", "Sm"],
  "frac_coords": [[0.000, 0.000, 0.000], [0.075, 0.075, 0.664], [0.258, 0.258, 0.333], [0.331, 0.331, 0.001], [0.669, 0.669, 0.999], [0.742, 0.742, 0.667], [0.925, 0.925, 0.336], [0.406, 0.406, 0.663], [0.594, 0.594, 0.337]]
}



[3]
{
  "formula": "Al2ZnPb",
  "functional": "PBE",
  "state": "optimized geometry",
  "e_form_ev_per_fu": 0.7,
  "polymorph_energy_mev_per_atom": 2.9,
  "cell": [[8.481, 0.000, 0.000], [0.000, 3.235, 0.000], [-1.057, 0.000, 6.253]],
  "species": ["Al", "Al", "Al", "Al", "Zn", "Zn", "Pb", "Pb"],
  "frac_coords": [[0.000, 0.000, 0.000], [0.242, 0.500, 0.203], [0.500, 0.500, 0.000], [0.742, 0.000, 0.203], [0.479, 0.000, 0.374], [0.979, 0.500, 0.374], [0.240, 0.000, 0.683], [0.740, 0.500, 0.683]]
}



[4]
{
  "formula": "La5PmSm2Sc",
  "functional": "PBE",
  "state": "optimized geometry",
  "e_form_ev_per_fu": 2.5,
  "cell": [[9.130, 0.000, 0.000], [0.000, 9.130, 0.000], [0.000, 0.000, 7.619]],
  "species": ["La", "La", "La", "La", "La", "La", "La", "La", "La", "La", "Pm", "Pm", "Sm", "Sm", "Sm", "Sm", "Sc", "Sc"],
  "frac_coords": [[0.000, 0.000, 0.000], [0.209, 0.291, 0.283], [0.209, 0.291, 0.717], [0.291, 0.791, 0.283], [0.291, 0.791, 0.717], [0.500, 0.500, 0.000], [0.709, 0.209, 0.283], [0.709, 0.209, 0.717], [0.791, 0.709, 0.283], [0.791, 0.709, 0.717], [0.000, 0.000, 0.500], [0.500, 0.500, 0.500], [0.114, 0.614, 0.000], [0.386, 0.114, 0.000], [0.614, 0.886, 0.000], [0.886, 0.386, 0.000], [0.000, 0.500, 0.500], [0.500, 0.000, 0.500]]
}



> Number 1 is which compound?

Sn5Pb3I16